DFT (PBE) results for a relaxed structure of Sb2W2S.

Lattice parameters (Å, degrees): 4.8048 4.8048 6.1116 66.85 66.85 90.00
With the nearest neighbours (Å) after each atom.
Positions (direct):
Sb: 0.7500 0.2500 0.5000  4 W 2.76
Sb: 0.2500 0.7500 0.5000  4 W 2.76
S: 0.0000 0.0000 0.0000  8 Sb 3.50, 10 W 3.60-3.89
W: 0.3832 0.3832 0.2336  1 W 2.37
W: 0.6168 0.6168 0.7664  1 W 2.37

Properties
DOS(E_F), states/eV per cell: 1.285
Formation energy without anion corrections, eV/atom: 1.046
Uncorrected energy, eV for the cell shown: -33.05

=====

DFT (PBE) results for a relaxed structure of LiMnAlZn.

Lattice parameters (Å, degrees): 4.3180 4.3180 4.3180 60.00 60.00 60.00
With the nearest neighbours (Å) after each atom.
Positions (direct):
Zn: 0.2500 0.2500 0.2500  4 Mn 2.64, 4 Li 2.64
Mn: 0.0000 0.0000 0.0000  4 Al 2.64, 4 Zn 2.64
Al: 0.7500 0.7500 0.7500  4 Li 2.64, 4 Mn 2.64
Li: 0.5000 0.5000 0.5000  4 Al 2.64, 4 Zn 2.64

Properties
DOS(E_F), states/eV per cell: 2.121
Calculated formation energy, eV per atom: -0.102
Uncorrected energy, eV for the cell shown: -16.51

=====

DFT (PBE) results for a relaxed structure of ZnCdCo2.

Lattice parameters (Å, degrees): 2.8364 2.8364 7.0772 90.00 90.00 90.00
With the nearest neighbours (Å) after each atom.
Positions (direct):
Cd: 0.5000 0.5000 0.7695  4 Co 2.80, 4 Cd 2.84, 4 Zn 3.00
Co: 0.0000 0.0000 0.0458  4 Co 2.39
Co: 0.5000 0.5000 0.2303  4 Co 2.39, 4 Zn 2.56
Zn: 0.0000 0.0000 0.4544  4 Co 2.56, 4 Zn 2.84

Properties
DOS(E_F), states/eV per cell: 3.044
Calculated formation energy, eV per atom: 0.103
Uncorrected energy, eV for the cell shown: -15.99

=====

DFT (PBE) results for a relaxed structure of YCdIn.

Lattice parameters (Å, degrees): 4.5066 4.5066 7.7514 90.00 90.00 90.00
With the nearest neighbours (Å) after each atom.
Positions (direct):
Y: 0.0000 0.5000 0.1712  5 Cd 3.12-3.22, 4 In 3.40
Y: 0.5000 0.0000 0.8288  5 Cd 3.12-3.22, 4 In 3.40
Cd: 0.0000 0.5000 0.7693  4 In 3.07, 5 Y 3.12-3.22
Cd: 0.5000 0.0000 0.2307  4 In 3.07, 5 Y 3.12-3.22
In: 0.0000 0.0000 0.5000  4 Cd 3.07, 4 In 3.19, 4 Y 3.40
In: 0.5000 0.5000 0.5000  4 Cd 3.07, 4 In 3.19, 4 Y 3.40

Properties
DOS(E_F), states/eV per cell: 6.029
Calculated formation energy, eV per atom: -0.288
Uncorrected energy, eV for the cell shown: -21.96

=====

DFT (PBE) results for a relaxed structure of LaPaHgSb.

Lattice parameters (Å, degrees): 5.4186 5.4186 5.4186 60.00 60.00 60.00
With the nearest neighbours (Å) after each atom.
Positions (direct):
Sb: 0.7500 0.7500 0.7500  4 Pa 3.32, 4 La 3.32
Pa: 0.5000 0.5000 0.5000  4 Hg 3.32, 4 Sb 3.32
Hg: 0.2500 0.2500 0.2500  4 La 3.32, 4 Pa 3.32
La: 0.0000 0.0000 0.0000  4 Sb 3.32, 4 Hg 3.32

Properties
DOS(E_F), states/eV per cell: 8.586
Formation energy without anion corrections, eV/atom: -0.307
Uncorrected energy, eV for the cell shown: -20.08

=====

DFT (PBE) results for a relaxed structure of TbDy3Tc.

Lattice parameters (Å, degrees): 3.9022 6.3420 12.0504 81.81 80.68 72.08
With the nearest neighbours (Å) after each atom.
Positions (direct):
Tb: 0.1124 0.4877 0.2874  2 Tc 2.93
Tb: 0.2281 0.5389 0.0049  3 Tc 2.95-3.14
Dy: 0.4534 0.9448 0.1485  2 Tc 2.79
Dy: 0.7585 0.7235 0.7595  2 Tc 2.80
Dy: 0.0998 0.1789 0.6215  2 Tc 2.92
Dy: 0.9834 0.1302 0.9030  3 Tc 2.95-3.14
Dy: 0.7863 0.0420 0.3854  1 Tc 3.02
Dy: 0.4262 0.6238 0.5237  1 Tc 3.00
Tc: 0.7874 0.2762 0.1491  3 Dy 2.79-3.02, 4 Tb 2.93-2.95
Tc: 0.4253 0.3908 0.7586  7 Dy 2.80-3.00

Properties
DOS(E_F), states/eV per cell: 9.760
Calculated formation energy, eV per atom: -0.060
Uncorrected energy, eV for the cell shown: -58.20

=====

- The highest DOS(E_F) belongs to which entry?
  TbDy3Tc

=====

- Which formula does entry 1 have?
  Sb2W2S

=====

- The lowest DOS(E_F) belongs to which entry?
  Sb2W2S

=====

- Among the records above, which one has the lowest uncorrected energy?
  TbDy3Tc